The following is a DFT calculation (PBE) of TbB after structural relaxation.

Calculated values
* space-group type: F-43m
* energy above the lowest structure with this stoichiometry: 541 meV/atom

```
TbB
1.0
0.000 2.878 2.878
2.878 0.000 2.878
2.878 2.878 0.000
Tb B
1 1
Direct
0.000 0.000 0.000
0.250 0.250 0.250
```



The following is a DFT calculation (PBE) of RbNi3Se5 after structural relaxation.

Calculated values
* space-group type: P6/mmm
* electronic total energy: -38.48 eV for the cell shown

```
RbNi3Se5
1.0
5.801 0.000 0.000
-2.900 5.023 0.000
0.000 0.000 7.140
Rb Ni Se
1 3 5
Direct
0.000 0.000 0.000
0.000 0.500 0.500
0.500 0.000 0.500
0.500 0.500 0.500
0.000 0.000 0.500
0.333 0.667 0.271
0.333 0.667 0.729
0.667 0.333 0.271
0.667 0.333 0.729
```



The following is a DFT calculation (PBE) of NaCd2Pt after structural relaxation.

Calculated values
* space-group type: I4/mmm
* energy above the lowest structure with this stoichiometry: 1 meV/atom

```
NaCd2Pt
1.0
-2.382 2.382 3.355
2.382 -2.382 3.355
2.382 2.382 -3.355
Na Cd Pt
1 2 1
Direct
0.000 0.000 0.000
0.250 0.750 0.500
0.750 0.250 0.500
0.500 0.500 0.000
```



The following is a DFT calculation (PBE) of NaSiNi after structural relaxation.

Calculated values
* space-group type: F-43m
* electronic total energy: -11.38 eV for the cell shown

```
NaSiNi
1.0
0.000 2.931 2.931
2.931 0.000 2.931
2.931 2.931 0.000
Na Si Ni
1 1 1
Direct
0.000 0.000 0.000
0.500 0.500 0.500
0.250 0.250 0.250
```



The following is a DFT calculation (PBE) of Nd2GdMg3Ir2Pt after structural relaxation.

Calculated values
* space-group type: Amm2
* electronic total energy: -49.16 eV for the cell shown

```
Nd2GdMg3Ir2Pt
1.0
4.092 0.000 0.000
0.000 6.442 3.725
0.000 -6.442 3.725
Nd Gd Mg Ir Pt
2 1 3 2 1
Direct
0.000 0.208 0.792
0.000 0.792 0.208
0.000 0.620 0.620
0.500 0.210 0.453
0.500 0.453 0.210
0.500 0.961 0.961
0.500 0.543 0.869
0.500 0.869 0.543
0.000 0.212 0.212
```



The following is a DFT calculation (PBE) of SiAsIrO after structural relaxation.

Calculated values
* space-group type: Pmc2_1
* energy above the lowest structure with this stoichiometry: 307 meV/atom

```
SiAsIrO
1.0
4.056 0.000 0.000
0.000 4.881 0.000
0.000 0.000 6.234
Si As Ir O
2 2 2 2
Direct
0.000 0.025 0.000
0.000 0.975 0.500
0.500 0.296 0.846
0.500 0.704 0.346
0.500 0.219 0.465
0.500 0.781 0.965
0.000 0.178 0.248
0.000 0.822 0.748
```



The following is a DFT calculation (PBE) of FeHgAsPd after structural relaxation.

Calculated values
* space-group type: F-43m
* energy above the lowest structure with this stoichiometry: 0 meV/atom

```
FeHgAsPd
1.0
0.000 3.214 3.214
3.214 0.000 3.214
3.214 3.214 0.000
Fe Hg As Pd
1 1 1 1
Direct
0.000 0.000 0.000
0.250 0.250 0.250
0.750 0.750 0.750
0.500 0.500 0.500
```



The following is a DFT calculation (PBE) of Mg3Np after structural relaxation.

Calculated values
* space-group type: Cmcm
* energy above the lowest structure with this stoichiometry: 0 meV/atom

```
Mg3Np
1.0
3.298 -5.906 0.000
3.298 5.906 0.000
0.000 0.000 4.819
Mg Np
6 2
Direct
0.067 0.426 0.750
0.078 0.922 0.750
0.426 0.067 0.250
0.574 0.933 0.750
0.922 0.078 0.250
0.933 0.574 0.250
0.450 0.550 0.250
0.550 0.450 0.750
```



Repeat the fifth record exactly.
The following is a DFT calculation (PBE) of Nd2GdMg3Ir2Pt after structural relaxation.

Calculated values
* space-group type: Amm2
* electronic total energy: -49.16 eV for the cell shown

```
Nd2GdMg3Ir2Pt
1.0
4.092 0.000 0.000
0.000 6.442 3.725
0.000 -6.442 3.725
Nd Gd Mg Ir Pt
2 1 3 2 1
Direct
0.000 0.208 0.792
0.000 0.792 0.208
0.000 0.620 0.620
0.500 0.210 0.453
0.500 0.453 0.210
0.500 0.961 0.961
0.500 0.543 0.869
0.500 0.869 0.543
0.000 0.212 0.212
```



Please write out number 4 again, unchanged.
The following is a DFT calculation (PBE) of NaSiNi after structural relaxation.

Calculated values
* space-group type: F-43m
* electronic total energy: -11.38 eV for the cell shown

```
NaSiNi
1.0
0.000 2.931 2.931
2.931 0.000 2.931
2.931 2.931 0.000
Na Si Ni
1 1 1
Direct
0.000 0.000 0.000
0.500 0.500 0.500
0.250 0.250 0.250
```